1.
Here is a geometry-optimized KCrRu structure from Alexandria via LeMat-Bulk. Energies are from GGA-PBE.

a = 4.602 Å, b = 4.602 Å, c = 4.602 Å
α = 60.00°, β = 60.00°, γ = 60.00°
Fractional coordinates of all 3 atoms:
K (0.000, 0.000, 0.000)
Cr (0.500, 0.500, 0.500)
Ru (0.750, 0.750, 0.750)

Summary:
Space-group type: No. 216
Energy of formation in meV/atom: 1585.4
Energy above the lowest structure with this stoichiometry in meV/atom: 831
VASP energy in eV per atom: -5.08

2.
Here is a geometry-optimized Cr2PRu structure from Alexandria via LeMat-Bulk. Energies are from GGA-PBE.

a = 4.710 Å, b = 4.710 Å, c = 4.710 Å
α = 136.85°, β = 136.85°, γ = 62.67°
Fractional coordinates of all 4 atoms:
Cr (0.250, 0.750, 0.500)
Cr (0.750, 0.250, 0.500)
P (0.000, 0.000, 0.000)
Ru (0.500, 0.500, 0.000)

Summary:
Space-group type: No. 139
Energy of formation in meV/atom: -107.9
VASP energy in eV per atom: -8.59

3.
Here is a geometry-optimized LiAg2Pd structure from Alexandria via LeMat-Bulk. Energies are from GGA-PBE.

a = 9.979 Å, b = 9.979 Å, c = 9.979 Å
α = 157.68°, β = 157.68°, γ = 31.77°
Fractional coordinates of all 8 atoms:
Li (0.000, 0.000, 0.000)
Li (0.750, 0.250, 0.500)
Ag (0.124, 0.625, 0.999)
Ag (0.375, 0.374, 0.499)
Ag (0.626, 0.125, 0.001)
Ag (0.875, 0.876, 0.501)
Pd (0.250, 0.750, 0.500)
Pd (0.500, 0.500, 0.000)

Summary:
Space-group type: No. 122
Energy of formation in meV/atom: 27.3
Energy above the lowest structure with this stoichiometry in meV/atom: 254
VASP energy in eV per atom: -3.18

4.
Here is a geometry-optimized Ca2CuB structure from Alexandria via LeMat-Bulk. Energies are from GGA-PBE.

a = 6.261 Å, b = 6.261 Å, c = 6.261 Å
α = 106.62°, β = 106.62°, γ = 115.35°
Fractional coordinates of all 8 atoms:
Ca (0.090, 0.625, 0.965)
Ca (0.375, 0.340, 0.465)
Ca (0.660, 0.125, 0.035)
Ca (0.875, 0.910, 0.535)
Cu (0.250, 0.750, 0.500)
Cu (0.500, 0.500, 0.000)
B (0.000, 0.000, 0.000)
B (0.750, 0.250, 0.500)

Summary:
Space-group type: No. 122
Energy of formation in meV/atom: 667.1
VASP energy in eV per atom: -3.03